[1]
Below is GdYC2 after structural relaxation, with properties calculated at the GGA-PBE level.

Lattice parameters (Å, degrees): 3.6208 3.6208 6.2639 73.20 73.20 60.00
Atoms (fractional coordinates):
Gd 0.0000 0.0000 0.0000
Y 0.5000 0.5000 0.5000
C 0.2506 0.2506 0.2482
C 0.7494 0.7494 0.7518

Space-group type: R-3m
Magnetic moment in μB/f.u.: 6.624

---

[2]
Below is Gd2ZnC after structural relaxation, with properties calculated at the GGA-PBE level.

Lattice parameters (Å, degrees): 3.6445 3.6445 7.8506 76.58 76.58 60.00
Atoms (fractional coordinates):
Zn 0.5000 0.5000 0.5000
Gd 0.2728 0.2728 0.1817
C 0.0000 0.0000 0.0000
Gd 0.7272 0.7272 0.8183

Space-group type: R-3m
Magnetic moment in μB/f.u.: 15.220

---

[3]
Below is GdZrC2 after structural relaxation, with properties calculated at the GGA-PBE level.

Lattice parameters (Å, degrees): 3.4519 3.4519 6.0959 73.55 73.55 60.00
Atoms (fractional coordinates):
C 0.7423 0.7423 0.7730
Gd 0.5000 0.5000 0.5000
Zr 0.0000 0.0000 0.0000
C 0.2577 0.2577 0.2270

Space-group type: R-3m
Magnetic moment in μB/f.u.: 6.787

---

[4]
Below is GdZr3C after structural relaxation, with properties calculated at the GGA-PBE level.

Lattice parameters (Å, degrees): 4.7224 4.7224 4.7224 90.00 90.00 90.00
Atoms (fractional coordinates):
Zr 0.0000 0.0000 0.5000
C 0.0000 0.0000 0.0000
Gd 0.5000 0.5000 0.5000
Zr 0.0000 0.5000 0.0000
Zr 0.5000 0.0000 0.0000

Space-group type: Pm-3m
Magnetic moment in μB/f.u.: 7.900

---

Looking at electronic total energy for the records above, in order, we have -38.659, -39.574, -42.400, -49.595 eV per cell.